Arrangement a

First-principles (meta-GGA SCAN) data for a crystal of Sb2TeRhS relaxed with PBEsol, as listed in the Alexandria database.

Cell and atoms, written as POSCAR:
```
Sb2TeRhS
1.0
-1.410 1.456 3.768
-3.595 -3.924 0.171
3.514 -3.110 2.516
S Sb Rh Te
1 2 1 1
direct
0.500 0.000 0.000 S
0.000 0.000 0.500 Sb
0.000 0.500 0.000 Sb
0.000 0.000 0.000 Rh
0.500 0.500 0.500 Te
```

As for the density of states at the Fermi level: 4.2 states/eV/cell.

Arrangement b

First-principles (meta-GGA SCAN) data for a crystal of Sb2TeRhS relaxed with PBEsol, as listed in the Alexandria database.

Cell and atoms, written as POSCAR:
```
Sb2TeRhS
1.0
5.012 0.000 0.000
0.000 5.012 0.000
0.000 0.000 5.171
Sb S Rh Te
2 1 1 1
direct
0.500 0.000 0.000 Sb
0.000 0.500 0.000 Sb
0.500 0.500 0.500 S
0.000 0.000 0.000 Rh
0.000 0.000 0.500 Te
```

As for the density of states at the Fermi level: 5.3 states/eV/cell.

Relative energies in eV/atom: arrangement a 0.000; arrangement b 0.353

Arrangement a

First-principles (meta-GGA SCAN) data for a crystal of Tl2SbRh relaxed with PBEsol, as listed in the Alexandria database.

Cell and atoms, written as POSCAR:
```
Tl2SbRh
1.0
3.485 0.035 0.000
-0.200 4.688 0.000
-1.642 -2.361 5.446
Tl Rh Sb
2 1 1
direct
0.500 0.500 0.500 Tl
0.000 0.000 0.500 Tl
0.500 0.000 0.000 Rh
0.000 0.500 0.000 Sb
```

As for the density of states at the Fermi level: 2.6 states/eV/cell.

Arrangement b

First-principles (meta-GGA SCAN) data for a crystal of Tl2SbRh relaxed with PBEsol, as listed in the Alexandria database.

Cell and atoms, written as POSCAR:
```
Tl2SbRh
1.0
4.990 0.000 0.000
2.495 4.321 0.000
2.495 1.440 4.074
Sb Rh Tl
1 1 2
direct
0.500 0.500 0.500 Sb
0.000 0.000 0.000 Rh
0.250 0.250 0.250 Tl
0.750 0.750 0.750 Tl
```

As for the density of states at the Fermi level: 2.8 states/eV/cell.

Relative energies in eV/atom: arrangement a 0.000; arrangement b 0.136

Arrangement a

First-principles (meta-GGA SCAN) data for a crystal of TlSbRh2 relaxed with PBEsol, as listed in the Alexandria database.

Cell and atoms, written as POSCAR:
```
TlSbRh2
1.0
-0.583 3.351 -3.188
-4.230 1.823 -0.718
-0.916 4.367 1.350
Rh Tl Sb
2 1 1
direct
0.250 0.250 0.250 Rh
0.000 0.000 0.000 Rh
0.750 0.750 0.750 Tl
0.500 0.500 0.500 Sb
```

As for the density of states at the Fermi level: 2.9 states/eV/cell.

Arrangement b

First-principles (meta-GGA SCAN) data for a crystal of TlSbRh2 relaxed with PBEsol, as listed in the Alexandria database.

Cell and atoms, written as POSCAR:
```
TlSbRh2
1.0
3.233 0.000 0.000
1.617 2.800 0.000
1.617 0.933 7.959
Tl Rh Sb
1 2 1
direct
0.000 0.000 0.000 Tl
0.245 0.245 0.266 Rh
0.755 0.755 0.734 Rh
0.500 0.500 0.500 Sb
```

As for the density of states at the Fermi level: 1.8 states/eV/cell.

Relative energies in eV/atom: arrangement a 0.408; arrangement b 0.000

Arrangement a

First-principles (meta-GGA SCAN) data for a crystal of Sc5Rh3 relaxed with PBEsol, as listed in the Alexandria database.

Cell and atoms, written as POSCAR:
```
Sc5Rh3
1.0
4.479 0.000 0.000
0.000 5.715 -0.017
0.000 -1.681 5.462
Rh Sc
3 5
direct
0.000 0.500 0.500 Rh
0.500 0.768 0.232 Rh
0.500 0.232 0.768 Rh
0.500 0.723 0.723 Sc
0.500 0.277 0.277 Sc
0.000 0.500 0.000 Sc
0.000 0.000 0.000 Sc
0.000 0.000 0.500 Sc
```

As for the density of states at the Fermi level: 3.2 states/eV/cell.

Arrangement b

First-principles (meta-GGA SCAN) data for a crystal of Sc5Rh3 relaxed with PBEsol, as listed in the Alexandria database.

Cell and atoms, written as POSCAR:
```
Sc5Rh3
1.0
5.666 0.000 0.000
0.000 7.708 0.000
0.000 -3.854 6.675
Rh Sc
6 10
direct
0.750 0.405 0.405 Rh
0.750 0.595 0.000 Rh
0.250 0.595 0.595 Rh
0.750 0.000 0.595 Rh
0.250 0.405 0.000 Rh
0.250 0.000 0.405 Rh
0.250 0.758 0.000 Sc
0.250 0.000 0.758 Sc
0.750 0.242 0.000 Sc
0.500 0.333 0.667 Sc
0.750 0.000 0.242 Sc
0.750 0.758 0.758 Sc
0.250 0.242 0.242 Sc
0.500 0.667 0.333 Sc
0.000 0.667 0.333 Sc
0.000 0.333 0.667 Sc
```

As for the density of states at the Fermi level: 14.8 states/eV/cell.

Relative energies in eV/atom: arrangement a 0.074; arrangement b 0.000

Arrangement a

First-principles (meta-GGA SCAN) data for a crystal of ScRh4 relaxed with PBEsol, as listed in the Alexandria database.

Cell and atoms, written as POSCAR:
```
ScRh4
1.0
3.891 0.000 0.000
1.945 4.297 0.000
1.945 0.000 4.297
Rh Sc
4 1
direct
0.808 0.791 0.593 Rh
0.401 0.407 0.791 Rh
0.599 0.593 0.209 Rh
0.192 0.209 0.407 Rh
0.000 0.000 0.000 Sc
```

As for the density of states at the Fermi level: 4.6 states/eV/cell.

Arrangement b

First-principles (meta-GGA SCAN) data for a crystal of ScRh4 relaxed with PBEsol, as listed in the Alexandria database.

Cell and atoms, written as POSCAR:
```
ScRh4
1.0
4.828 0.000 0.000
-1.609 4.552 0.000
-1.609 -2.276 3.942
Rh Sc
4 1
direct
0.500 0.500 0.500 Rh
0.000 0.000 0.500 Rh
0.000 0.500 0.000 Rh
0.500 0.000 0.000 Rh
0.000 0.000 0.000 Sc
```

As for the density of states at the Fermi level: 7.8 states/eV/cell.

Relative energies in eV/atom: arrangement a 0.000; arrangement b 1.187

Arrangement a

First-principles (meta-GGA SCAN) data for a crystal of ScRhSe2 relaxed with PBEsol, as listed in the Alexandria database.

Cell and atoms, written as POSCAR:
```
ScRhSe2
1.0
3.619 0.000 0.000
0.000 3.619 0.000
0.000 0.000 5.406
Rh Se Sc
1 2 1
direct
0.000 0.000 0.434 Rh
0.500 0.500 0.335 Se
0.000 0.000 0.929 Se
0.500 0.500 0.802 Sc
```

As for the density of states at the Fermi level: 1.5 states/eV/cell.

Arrangement b

First-principles (meta-GGA SCAN) data for a crystal of ScRhSe2 relaxed with PBEsol, as listed in the Alexandria database.

Cell and atoms, written as POSCAR:
```
ScRhSe2
1.0
3.249 0.000 0.000
0.000 3.249 0.000
0.000 0.000 6.362
Se Sc Rh
2 1 1
direct
0.000 0.000 0.747 Se
0.000 0.000 0.253 Se
0.500 0.500 0.500 Sc
0.500 0.500 0.000 Rh
```

As for the density of states at the Fermi level: 3.5 states/eV/cell.

Relative energies in eV/atom: arrangement a 0.000; arrangement b 0.512

Arrangement a

First-principles (meta-GGA SCAN) data for a crystal of ScTaRh relaxed with PBEsol, as listed in the Alexandria database.

Cell and atoms, written as POSCAR:
```
ScTaRh
1.0
-1.093 0.393 2.786
2.951 -0.484 -0.409
0.992 6.490 -0.527
Rh Sc Ta
1 1 1
direct
0.000 0.000 0.009 Rh
0.333 0.667 0.680 Sc
0.667 0.333 0.312 Ta
```

As for the density of states at the Fermi level: 2.3 states/eV/cell.

Arrangement b

First-principles (meta-GGA SCAN) data for a crystal of ScTaRh relaxed with PBEsol, as listed in the Alexandria database.

Cell and atoms, written as POSCAR:
```
ScTaRh
1.0
-3.923 0.295 -1.794
-2.386 -3.560 -0.580
-3.533 -0.651 2.407
Sc Ta Rh
1 1 1
direct
0.500 0.500 0.500 Sc
0.750 0.750 0.750 Ta
0.000 0.000 0.000 Rh
```

As for the density of states at the Fermi level: 2.1 states/eV/cell.

Relative energies in eV/atom: arrangement a 0.000; arrangement b 0.411

Arrangement a

First-principles (meta-GGA SCAN) data for a crystal of ScRhW2 relaxed with PBEsol, as listed in the Alexandria database.

Cell and atoms, written as POSCAR:
```
ScRhW2
1.0
-3.221 -1.834 2.457
0.254 -4.286 1.159
0.793 -1.116 4.231
Rh W Sc
1 2 1
direct
0.000 0.000 0.000 Rh
0.750 0.750 0.750 W
0.250 0.250 0.250 W
0.500 0.500 0.500 Sc
```

As for the density of states at the Fermi level: 3.4 states/eV/cell.

Arrangement b

First-principles (meta-GGA SCAN) data for a crystal of ScRhW2 relaxed with PBEsol, as listed in the Alexandria database.

Cell and atoms, written as POSCAR:
```
ScRhW2
1.0
2.852 0.000 0.000
1.426 2.469 0.000
1.426 0.823 9.149
W Sc Rh
2 1 1
direct
0.002 0.002 0.995 W
0.755 0.755 0.736 W
0.246 0.246 0.261 Sc
0.497 0.497 0.508 Rh
```

As for the density of states at the Fermi level: 3.7 states/eV/cell.

Arrangement c

First-principles (meta-GGA SCAN) data for a crystal of ScRhW2 relaxed with PBEsol, as listed in the Alexandria database.

Cell and atoms, written as POSCAR:
```
ScRhW2
1.0
2.760 0.003 0.000
-1.087 4.992 0.000
-0.836 -2.497 4.580
W Sc Rh
2 1 1
direct
0.500 0.500 0.500 W
0.000 0.000 0.500 W
0.500 0.000 0.000 Sc
0.000 0.500 0.000 Rh
```

As for the density of states at the Fermi level: 2.3 states/eV/cell.

Relative energies in eV/atom: arrangement a 0.449; arrangement b 0.240; arrangement c 0.000